Entry from Alexandria: Nb2Fe4O9 after structural relaxation (GGA+U).

Cell lengths 5.3146, 5.3146, 14.4213 Å; angles 90.41, 90.41, 59.95 degrees
With the nearest neighbours (Å) after each atom.
Fractional coordinates of all 30 atoms:
Nb 0.0016 0.9885 0.6426  4 O 1.92-2.13
Nb 0.0115 0.9984 0.8574  4 O 1.92-2.13
Nb 0.9885 0.0016 0.1426  4 O 1.92-2.13
Nb 0.9984 0.0115 0.3574  4 O 1.92-2.13
Fe 0.3248 0.3405 0.3076  4 O 2.04-2.24
Fe 0.3296 0.3356 0.5147  6 O 2.07-2.26
Fe 0.3356 0.3296 0.0147  6 O 2.07-2.26
Fe 0.3405 0.3248 0.8076  4 O 2.04-2.24
Fe 0.6595 0.6752 0.1924  4 O 2.04-2.24
Fe 0.6644 0.6704 0.9853  6 O 2.07-2.26
Fe 0.6704 0.6644 0.4853  6 O 2.07-2.26
Fe 0.6752 0.6595 0.6924  4 O 2.04-2.24
O 0.0178 0.6990 0.7512  2 Fe 2.04-2.11, 2 Nb 2.17-2.19
O 0.0244 0.6686 0.4110  1 Nb 1.92
O 0.0395 0.3091 0.9179  1 Nb 1.93, 1 Fe 2.14
O 0.2679 0.7321 0.2500  2 Fe 2.12, 2 Nb 2.13
O 0.3010 0.9822 0.7488  2 Fe 2.04-2.11, 2 Nb 2.17-2.19
O 0.3091 0.0395 0.4179  1 Nb 1.93, 1 Fe 2.14
O 0.3275 0.6615 0.9160  1 Nb 1.93, 1 Fe 2.07
O 0.3314 0.9756 0.0890  1 Nb 1.92
O 0.3385 0.6725 0.5840  1 Nb 1.93, 1 Fe 2.07
O 0.6615 0.3275 0.4160  1 Nb 1.93, 1 Fe 2.07
O 0.6686 0.0244 0.9110  1 Nb 1.92
O 0.6725 0.3385 0.0840  1 Nb 1.93, 1 Fe 2.07
O 0.6909 0.9605 0.5821  1 Nb 1.93, 1 Fe 2.14
O 0.6990 0.0178 0.2512  2 Fe 2.04-2.11, 2 Nb 2.17-2.19
O 0.7321 0.2679 0.7500  2 Fe 2.12, 2 Nb 2.13
O 0.9605 0.6909 0.0821  1 Nb 1.93, 1 Fe 2.14
O 0.9756 0.3314 0.5890  1 Nb 1.92
O 0.9822 0.3010 0.2488  2 Fe 2.04-2.11, 2 Nb 2.17-2.19

Values from the calculation:
- D(E_F) (states/eV/atom) = 0.00
- total energy (eV/atom) = -7.7771